No. 1
Computed, not measured: a relaxed CaPPd2Rh crystal at the PBE-GGA level of DFT.

Lattice parameters (Å, degrees): 4.594 4.594 4.454 90.00 90.00 90.00
Fractional coordinates of all 5 atoms:
Ca 0.000 0.000 0.000
P 0.500 0.500 0.500
Pd 0.000 0.500 0.500
Pd 0.500 0.000 0.500
Rh 0.500 0.500 0.000

Spin magnetization (μB/atom): 0.0000
Space-group type: No. 123
VASP energy (eV for the cell shown): -28.22

=====

No. 2
Computed, not measured: a relaxed CaP2PdRh crystal at the PBE-GGA level of DFT.

Lattice parameters (Å, degrees): 4.101 4.101 9.720 90.00 90.00 90.00
Fractional coordinates of all 10 atoms:
Ca 0.000 0.000 0.000
Ca 0.500 0.500 0.500
P 0.000 0.000 0.388
P 0.000 0.000 0.612
P 0.500 0.500 0.112
P 0.500 0.500 0.888
Pd 0.000 0.500 0.750
Pd 0.500 0.000 0.250
Rh 0.000 0.500 0.250
Rh 0.500 0.000 0.750

Spin magnetization (μB/atom): 0.0000
Space-group type: No. 119
VASP energy (eV for the cell shown): -59.44

=====

No. 3
Computed, not measured: a relaxed Ca2PPdRh crystal at the PBE-GGA level of DFT.

Lattice parameters (Å, degrees): 5.281 5.281 4.769 90.00 90.00 90.00
Fractional coordinates of all 5 atoms:
Ca 0.000 0.500 0.000
Ca 0.500 0.000 0.000
P 0.000 0.000 0.500
Pd 0.500 0.500 0.000
Rh 0.500 0.500 0.500

Spin magnetization (μB/atom): 0.0000
Space-group type: No. 123
VASP energy (eV for the cell shown): -20.93

=====

Look up the VASP energy of the third one.
-20.93 eV for the cell shown

=====

Look up the VASP energy of the second one.
-59.44 eV for the cell shown

=====

The highest VASP energy belongs to which entry?
Ca2PPdRh

=====

Which value of VASP energy does entry 2 give?
-59.44 eV for the cell shown